[1]
Ag2TeO2F2 | PBE | relaxed Values from VASP.

Values from the calculation:
As for the formation energy from raw total energies: -777 meV/atom. The spin magnetization comes out at 0.0 Bohr magnetons per cell. As for the space group: P-1.

```
&SYSTEM
  ibrav = 0, nat = 7, ntyp = 4
/
ATOMIC_SPECIES
Ag 107.87 Ag.upf
Te 127.60 Te.upf
O 16.00 O.upf
F 19.00 F.upf
CELL_PARAMETERS angstrom
3.840 0.006 0.004
0.016 4.694 -0.349
1.926 1.588 5.924
ATOMIC_POSITIONS crystal
Ag 0.218 0.738 0.563
Ag 0.782 0.262 0.437
Te 0.000 0.000 0.000
O 0.158 0.226 0.685
O 0.842 0.774 0.315
F 0.447 0.217 0.101
F 0.553 0.783 0.899
```

=====

[2]
TiAgO2F | PBE | relaxed Values from VASP.

Values from the calculation:
As for the formation energy from raw total energies: -2089 meV/atom. The spin magnetization comes out at 0.0 Bohr magnetons per cell. As for the space group: P4/mmm.

```
&SYSTEM
  ibrav = 0, nat = 5, ntyp = 4
/
ATOMIC_SPECIES
F 19.00 F.upf
O 16.00 O.upf
Ag 107.87 Ag.upf
Ti 47.87 Ti.upf
CELL_PARAMETERS angstrom
-1.641 -1.754 -3.038
0.669 -3.449 1.630
-3.598 0.174 1.844
ATOMIC_POSITIONS crystal
F 0.000 0.000 0.500
O 0.000 0.500 0.000
O 0.500 0.000 0.000
Ag 0.500 0.500 0.500
Ti 0.000 0.000 0.000
```

=====

[3]
TiAgO2F | PBE | relaxed Values from VASP.

Values from the calculation:
As for the formation energy from raw total energies: -254 meV/atom. The spin magnetization comes out at 0.0 Bohr magnetons per cell. As for the space group: P4/mmm.

```
&SYSTEM
  ibrav = 0, nat = 5, ntyp = 4
/
ATOMIC_SPECIES
F 19.00 F.upf
O 16.00 O.upf
Ag 107.87 Ag.upf
Ti 47.87 Ti.upf
CELL_PARAMETERS angstrom
4.074 0.000 0.000
0.000 4.074 0.000
0.000 0.000 4.152
ATOMIC_POSITIONS crystal
F 0.000 0.000 0.500
O 0.000 0.500 0.000
O 0.500 0.000 0.000
Ag 0.000 0.000 0.000
Ti 0.500 0.500 0.500
```

=====

[4]
TlAgOF2 | PBE | relaxed Values from VASP.

Values from the calculation:
Its energy above the lowest structure with this stoichiometry is 0.2301 eV per atom. As for the formation energy from raw total energies: -869 meV/atom. The spin magnetization comes out at 0.0 Bohr magnetons per cell. As for the space group: P4/mmm.

```
&SYSTEM
  ibrav = 0, nat = 5, ntyp = 4
/
ATOMIC_SPECIES
Tl 204.38 Tl.upf
O 16.00 O.upf
Ag 107.87 Ag.upf
F 19.00 F.upf
CELL_PARAMETERS angstrom
-1.572 3.029 -2.917
-3.112 1.256 2.982
2.556 2.770 1.500
ATOMIC_POSITIONS crystal
Tl 0.500 0.500 0.500
O 0.000 0.000 0.500
Ag 0.000 0.000 0.000
F 0.000 0.500 0.000
F 0.500 0.000 0.000
```

=====

[5]
TlAgOF2 | PBE | relaxed Values from VASP.

Values from the calculation:
Its energy above the lowest structure with this stoichiometry is 0.0000 eV per atom. As for the formation energy from raw total energies: -1100 meV/atom. The spin magnetization comes out at 0.0 Bohr magnetons per cell. As for the space group: P2_1/m.

```
&SYSTEM
  ibrav = 0, nat = 10, ntyp = 4
/
ATOMIC_SPECIES
Tl 204.38 Tl.upf
Ag 107.87 Ag.upf
O 16.00 O.upf
F 19.00 F.upf
CELL_PARAMETERS angstrom
-2.275 2.401 1.689
-1.662 -4.589 4.283
6.073 5.345 0.583
ATOMIC_POSITIONS crystal
Tl 0.250 0.265 0.046
Tl 0.750 0.735 0.954
Ag 0.250 0.156 0.464
Ag 0.750 0.844 0.536
O 0.250 0.957 0.121
O 0.750 0.043 0.879
F 0.750 0.461 0.615
F 0.250 0.539 0.385
F 0.750 0.607 0.167
F 0.250 0.393 0.833
```

=====

[6]
TlAgOF2 | PBE | relaxed Values from VASP.

Values from the calculation:
Its energy above the lowest structure with this stoichiometry is 0.1920 eV per atom. As for the formation energy from raw total energies: -908 meV/atom. The spin magnetization comes out at 0.0 Bohr magnetons per cell. As for the space group: P4/mmm.

```
&SYSTEM
  ibrav = 0, nat = 5, ntyp = 4
/
ATOMIC_SPECIES
Tl 204.38 Tl.upf
O 16.00 O.upf
Ag 107.87 Ag.upf
F 19.00 F.upf
CELL_PARAMETERS angstrom
-3.239 -2.606 -1.837
3.185 -2.748 -1.718
-0.115 -2.286 3.445
ATOMIC_POSITIONS crystal
Tl 0.000 0.000 0.000
O 0.000 0.000 0.500
Ag 0.500 0.500 0.500
F 0.000 0.500 0.000
F 0.500 0.000 0.000
```

=====

[7]
UAgO4F | PBE | relaxed Values from VASP.

Values from the calculation:
As for the formation energy from raw total energies: -1786 meV/atom. The spin magnetization comes out at 0.0 Bohr magnetons per cell. As for the space group: P2_1/m.

```
&SYSTEM
  ibrav = 0, nat = 14, ntyp = 4
/
ATOMIC_SPECIES
U 238.03 U.upf
Ag 107.87 Ag.upf
O 16.00 O.upf
F 19.00 F.upf
CELL_PARAMETERS angstrom
-0.805 -6.674 0.615
3.700 -0.843 -4.308
5.535 4.609 3.852
ATOMIC_POSITIONS crystal
U 0.266 0.750 0.295
U 0.734 0.250 0.705
Ag 0.963 0.750 0.487
Ag 0.037 0.250 0.513
O 0.945 0.485 0.645
O 0.055 0.985 0.355
O 0.055 0.515 0.355
O 0.945 0.015 0.645
O 0.479 0.750 0.220
O 0.521 0.250 0.780
O 0.530 0.750 0.578
O 0.470 0.250 0.422
F 0.964 0.750 0.991
F 0.036 0.250 0.009
```

=====

[8]
UAg2O2F4 | PBE | relaxed Values from VASP.

Values from the calculation:
As for the formation energy from raw total energies: -2244 meV/atom. The spin magnetization comes out at 0.0 Bohr magnetons per cell. As for the space group: C2/m.

```
&SYSTEM
  ibrav = 0, nat = 9, ntyp = 4
/
ATOMIC_SPECIES
U 238.03 U.upf
Ag 107.87 Ag.upf
O 16.00 O.upf
F 19.00 F.upf
CELL_PARAMETERS angstrom
4.851 0.257 0.175
1.465 5.921 0.215
1.465 2.374 5.428
ATOMIC_POSITIONS crystal
U 0.500 0.000 0.000
Ag 0.095 0.624 0.624
Ag 0.905 0.376 0.376
O 0.165 0.155 0.155
O 0.835 0.845 0.845
F 0.320 0.653 0.185
F 0.680 0.815 0.347
F 0.680 0.347 0.815
F 0.320 0.185 0.653
```

=====

Number 1: raw total energy -27.9 eV/cell. Number 2: raw total energy -33.0 eV/cell. Number 3: raw total energy -23.8 eV/cell. Number 4: raw total energy -18.3 eV/cell. Number 5: raw total energy -38.8 eV/cell. Number 6: raw total energy -18.5 eV/cell. Number 7: raw total energy -96.7 eV/cell. Number 8: raw total energy -54.6 eV/cell.